Entry from Alexandria: a relaxed NbAgTeI2 crystal (PBE-GGA).

The value obtained for the uncorrected formation energy is 285.4 meV per atom. The energy relative to the lowest polymorph listed for this composition comes out at 0.00 eV/f.u. As for the magnetic moment: 0.73 μB per cell.

It has space group P4/mmm (No. 123), with a = 5.656 Å, b = 5.656 Å, c = 5.394 Å, α = 90.00°, β = 90.00° and γ = 90.00°. The inequivalent atoms are Nb at (0.000, 0.000, 0.000), Ag at (0.500, 0.500, 0.500), Te at (0.000, 0.000, 0.500) and I at (0.000, 0.500, 0.000).

=====

Entry from Alexandria: a relaxed NbTl2AgI crystal (PBE-GGA).

The value obtained for the uncorrected formation energy is 628.4 meV per atom. As for the magnetic moment: 0.00 μB per cell.

It has space group P4/mmm (No. 123), with a = 5.677 Å, b = 5.677 Å, c = 5.284 Å, α = 90.00°, β = 90.00° and γ = 90.00°. The inequivalent atoms are Nb at (0.000, 0.000, 0.000), Tl at (0.000, 0.500, 0.000), Ag at (0.500, 0.500, 0.500) and I at (0.000, 0.000, 0.500).

=====

Entry from Alexandria: a relaxed NbTlAgI6 crystal (PBE-GGA).

The value obtained for the uncorrected formation energy is -398.1 meV per atom. As for the magnetic moment: 2.00 μB per cell.

It has space group P-31c (No. 163), with a = 7.7099 Å, b = 7.7099 Å, c = 14.5713 Å, α = 90.00°, β = 90.00° and γ = 120.00°. The inequivalent atoms are Nb at (0.3333, 0.6667, 0.2500), Tl at (0.0000, 0.0000, 0.0000), Ag at (0.3333, 0.6667, 0.7500) and I at (0.0225, 0.3825, 0.1380).

=====

Entry from Alexandria: a relaxed Nb2AgWI crystal (PBE-GGA).

The value obtained for the uncorrected formation energy is 2292.1 meV per atom. As for the magnetic moment: 0.00 μB per cell.

It has space group P4/mmm (No. 123), with a = 5.003 Å, b = 5.003 Å, c = 4.849 Å, α = 90.00°, β = 90.00° and γ = 90.00°. The inequivalent atoms are Nb at (0.000, 0.500, 0.000), Ag at (0.000, 0.000, 0.500), W at (0.500, 0.500, 0.500) and I at (0.000, 0.000, 0.000).

=====

Entry from Alexandria: a relaxed Nd7AgI12 crystal (PBE-GGA).

The value obtained for the uncorrected formation energy is -1176.6 meV per atom. As for the magnetic moment: 0.00 μB per cell.

It has space group R-3 (No. 148, hexagonal axes), with a = 16.2279 Å, b = 16.2279 Å, c = 10.7390 Å, α = 90.00°, β = 90.00° and γ = 120.00°. The inequivalent atoms are Nd at (0.0000, 0.0000, 0.0000), Nd at (0.0465, 0.1652, 0.3404), Ag at (0.0000, 0.0000, 0.5000), I at (0.0237, 0.5872, 0.1644) and I at (0.0523, 0.1867, 0.8428).

=====

Entry from Alexandria: a relaxed Nd2AgI8 crystal (PBE-GGA).

The value obtained for the uncorrected formation energy is -955.8 meV per atom. As for the magnetic moment: 0.00 μB per cell.

It has space group C2/m (No. 12), with a = 26.352 Å, b = 7.261 Å, c = 6.208 Å, α = 90.00°, β = 95.80° and γ = 90.00°. The inequivalent atoms are Nd at (0.171, 0.000, 0.470), Ag at (0.000, 0.000, 0.500), I at (0.075, 0.257, 0.429), I at (0.177, 0.000, 0.972) and I at (0.209, 0.500, 0.480).

=====

Entry from Alexandria: a relaxed NdAgI6 crystal (PBE-GGA).

The value obtained for the uncorrected formation energy is -510.8 meV per atom. As for the magnetic moment: 0.00 μB per cell.

It has space group Fm-3m (No. 225), with a = 12.072 Å, b = 12.072 Å, c = 12.072 Å, α = 90.00°, β = 90.00° and γ = 90.00°. The inequivalent atoms are Nd at (0.000, 0.000, 0.000), Ag at (0.000, 0.000, 0.500) and I at (0.000, 0.000, 0.256).

=====

Entry from Alexandria: a relaxed PrNdAgI crystal (PBE-GGA).

The value obtained for the uncorrected formation energy is -397.2 meV per atom. As for the magnetic moment: 0.00 μB per cell.

It has space group F-43m (No. 216), with a = 7.710 Å, b = 7.710 Å, c = 7.710 Å, α = 90.00°, β = 90.00° and γ = 90.00°. The inequivalent atoms are Pr at (0.000, 0.000, 0.000), Nd at (0.000, 0.000, 0.500), Ag at (0.250, 0.250, 0.250) and I at (0.250, 0.250, 0.750).

=====

Entry from Alexandria: a relaxed Nd6AgPt2I3 crystal (PBE-GGA).

The value obtained for the uncorrected formation energy is -912.6 meV per atom. As for the magnetic moment: 0.00 μB per cell.

It has space group C2/m (No. 12), with a = 7.480 Å, b = 12.940 Å, c = 8.428 Å, α = 90.00°, β = 107.22° and γ = 90.00°. The inequivalent atoms are Nd at (0.212, 0.000, 0.193), Nd at (0.241, 0.324, 0.194), Ag at (0.000, 0.500, 0.000), Pt at (0.000, 0.167, 0.000), I at (0.000, 0.000, 0.500) and I at (0.000, 0.336, 0.500).

=====

Entry from Alexandria: a relaxed RbNdAgI6 crystal (PBE-GGA).

The value obtained for the uncorrected formation energy is -962.1 meV per atom. As for the magnetic moment: 0.00 μB per cell.

It has space group P1 (No. 1), with a = 7.621 Å, b = 7.767 Å, c = 8.140 Å, α = 93.44°, β = 95.57° and γ = 112.25°. The inequivalent atoms are Rb at (0.000, 0.000, 0.000), Nd at (0.368, 0.670, 0.507), Ag at (0.748, 0.349, 0.458), I at (0.030, 0.596, 0.232), I at (0.065, 0.337, 0.663), I at (0.406, 0.964, 0.783), I at (0.449, 0.388, 0.248), I at (0.649, 0.973, 0.311) and I at (0.671, 0.565, 0.722).

=====

Entry from Alexandria: a relaxed RbNdAgI5 crystal (PBE-GGA).

The value obtained for the uncorrected formation energy is -1131.5 meV per atom. As for the magnetic moment: 0.00 μB per cell.

It has space group C2/c (No. 15), with a = 10.243 Å, b = 13.884 Å, c = 11.723 Å, α = 90.00°, β = 112.27° and γ = 90.00°. The inequivalent atoms are Rb at (0.000, 0.142, 0.250), Nd at (0.000, 0.500, 0.000), Ag at (0.000, 0.189, 0.750), I at (0.000, 0.416, 0.250), I at (0.120, 0.298, 0.608) and I at (0.190, 0.068, 0.942).

=====

Entry from Alexandria: a relaxed RbNdAg2I6 crystal (PBE-GGA).

The value obtained for the uncorrected formation energy is -937.2 meV per atom. As for the magnetic moment: 0.00 μB per cell.

It has space group R-3 (No. 148, hexagonal axes), with a = 8.0959 Å, b = 8.0959 Å, c = 25.8942 Å, α = 90.00°, β = 90.00° and γ = 120.00°. The inequivalent atoms are Rb at (0.0000, 0.0000, 0.0000), Nd at (0.0000, 0.0000, 0.5000), Ag at (0.0000, 0.0000, 0.2282) and I at (0.0026, 0.3149, 0.4285).

=====

Entry from Alexandria: a relaxed RbNd2AgI8 crystal (PBE-GGA).

The value obtained for the uncorrected formation energy is -1175.8 meV per atom. As for the magnetic moment: 0.00 μB per cell.

It has space group P-1 (No. 2), with a = 7.748 Å, b = 7.904 Å, c = 9.524 Å, α = 90.12°, β = 90.06° and γ = 98.66°. The inequivalent atoms are Rb at (0.000, 0.000, 0.000), Nd at (0.500, 0.500, 0.260), Ag at (0.000, 0.000, 0.500), I at (0.260, 0.150, 0.714), I at (0.263, 0.149, 0.285), I at (0.271, 0.630, 0.499) and I at (0.286, 0.624, 0.000).

=====

Entry from Alexandria: a relaxed Nd6AgRh2I3 crystal (PBE-GGA).

The value obtained for the uncorrected formation energy is -803.7 meV per atom. As for the magnetic moment: 0.00 μB per cell.

It has space group C2/m (No. 12), with a = 7.375 Å, b = 12.775 Å, c = 8.498 Å, α = 90.00°, β = 106.79° and γ = 90.00°. The inequivalent atoms are Nd at (0.207, 0.000, 0.189), Nd at (0.241, 0.322, 0.190), Ag at (0.000, 0.500, 0.000), Rh at (0.000, 0.167, 0.000), I at (0.000, 0.000, 0.500) and I at (0.000, 0.335, 0.500).

=====

Entry from Alexandria: a relaxed NdTl2AgI6 crystal (PBE-GGA).

The value obtained for the uncorrected formation energy is -855.2 meV per atom. As for the magnetic moment: 0.00 μB per cell.

It has space group P2_1/c (No. 14), with a = 8.112 Å, b = 8.702 Å, c = 14.073 Å, α = 90.00°, β = 124.14° and γ = 90.00°. The inequivalent atoms are Nd at (0.000, 0.000, 0.000), Tl at (0.296, 0.096, 0.759), Ag at (0.500, 0.000, 0.500), I at (0.137, 0.025, 0.257), I at (0.241, 0.693, 0.057) and I at (0.370, 0.192, 0.055).

=====

Entry from Alexandria: a relaxed NiAgI4 crystal (PBE-GGA).

The value obtained for the uncorrected formation energy is -62.8 meV per atom. The energy relative to the lowest polymorph listed for this composition comes out at 0.03 eV/f.u. As for the magnetic moment: 0.24 μB per cell.

It has space group C2/m (No. 12), with a = 16.119 Å, b = 3.752 Å, c = 9.037 Å, α = 90.00°, β = 98.95° and γ = 90.00°. The inequivalent atoms are Ni at (0.000, 0.000, 0.000), Ag at (0.000, 0.500, 0.500), I at (0.089, 0.500, 0.927) and I at (0.123, 0.000, 0.469).

=====

Entry from Alexandria: a relaxed NiAgI6 crystal (PBE-GGA).

The value obtained for the uncorrected formation energy is 6.4 meV per atom. As for the magnetic moment: 0.00 μB per cell.

It has space group P-1 (No. 2), with a = 6.887 Å, b = 6.905 Å, c = 7.716 Å, α = 107.89°, β = 115.90° and γ = 91.37°. The inequivalent atoms are Ni at (0.000, 0.000, 0.000), Ag at (0.500, 0.500, 0.000), I at (0.038, 0.124, 0.385), I at (0.232, 0.373, 0.163) and I at (0.382, 0.877, 0.150).

=====

Entry from Alexandria: a relaxed NiAg3I6 crystal (PBE-GGA).

The value obtained for the uncorrected formation energy is -87.4 meV per atom. As for the magnetic moment: 1.98 μB per cell.

It has space group P2_1/c (No. 14), with a = 7.738 Å, b = 7.247 Å, c = 13.524 Å, α = 90.00°, β = 124.56° and γ = 90.00°. The inequivalent atoms are Ni at (0.000, 0.000, 0.000), Ag at (0.309, 0.004, 0.767), Ag at (0.500, 0.000, 0.500), I at (0.062, 0.699, 0.918), I at (0.271, 0.178, 0.950) and I at (0.320, 0.606, 0.723).

=====

Entry from Alexandria: a relaxed Ni5AgI12 crystal (PBE-GGA).

The value obtained for the uncorrected formation energy is -84.9 meV per atom. As for the magnetic moment: 17.97 μB per cell.

It has space group C2/m (No. 12), with a = 6.904 Å, b = 11.965 Å, c = 14.944 Å, α = 90.00°, β = 90.20° and γ = 90.00°. The inequivalent atoms are Ni at (0.000, 0.000, 0.000), Ni at (0.000, 0.167, 0.500), Ni at (0.000, 0.333, 0.000), Ag at (0.000, 0.500, 0.500), I at (0.135, 0.000, 0.606), I at (0.166, 0.167, 0.900), I at (0.166, 0.500, 0.900) and I at (0.184, 0.317, 0.606).

=====

Entry from Alexandria: a relaxed NiAgI4 crystal (PBE-GGA).

The value obtained for the uncorrected formation energy is -67.4 meV per atom. The energy relative to the lowest polymorph listed for this composition comes out at 0.00 eV/f.u. As for the magnetic moment: 1.92 μB per cell.

It has space group P2/m (No. 10), with a = 7.589 Å, b = 3.944 Å, c = 7.759 Å, α = 90.00°, β = 116.21° and γ = 90.00°. The inequivalent atoms are Ni at (0.000, 0.000, 0.000), Ag at (0.500, 0.500, 0.000), I at (0.216, 0.000, 0.780) and I at (0.226, 0.500, 0.228).